(1)
The following is a GGA-PBE calculation of MnBeHg after structural relaxation, from Alexandria via LeMat-Bulk.

a = 4.1972 Å, b = 4.1972 Å, c = 2.9444 Å
α = 90.00°, β = 90.00°, γ = 120.00°
Closest atoms and distances in Å follow each position.
Space group P-6m2 (No. 187)
One atom of each set of equivalent atoms:
Mn (0.0000, 0.0000, 0.0000) [1 per cell]  6 Hg 2.84, 6 Be 2.84, 2 Mn 2.94
Be (0.3333, 0.6667, 0.5000) [1 per cell]  3 Hg 2.42
Hg (0.6667, 0.3333, 0.5000) [1 per cell]  3 Be 2.42

Calculated values
Formation energy (meV/atom): 364
Final energy (eV per atom): -4.0351
DOS(E_F) (states/eV per cell): 2.61



(2)
The following is a GGA-PBE calculation of Mn2Be2Hg after structural relaxation, from Alexandria via LeMat-Bulk.

a = 3.2838 Å, b = 3.2838 Å, c = 11.4311 Å
α = 90.00°, β = 90.00°, γ = 90.00°
Closest atoms and distances in Å follow each position.
Space group I4/mmm (No. 139)
One atom of each set of equivalent atoms:
Mn (0.0000, 0.5000, 0.2500) [4 per cell]  4 Mn 2.32, 4 Be 2.33
Be (0.0000, 0.0000, 0.1051) [4 per cell]  4 Mn 2.33, 1 Be 2.40
Hg (0.0000, 0.0000, 0.5000) [2 per cell]  8 Be 2.61

Calculated values
Formation energy (meV/atom): 533
Final energy (eV per atom): -4.6859
DOS(E_F) (states/eV per cell): 9.27



(3)
The following is a GGA-PBE calculation of MnBeHg after structural relaxation, from Alexandria via LeMat-Bulk.

a = 5.7267 Å, b = 5.7267 Å, c = 5.7267 Å
α = 90.00°, β = 90.00°, γ = 90.00°
Closest atoms and distances in Å follow each position.
Space group F-43m (No. 216)
One atom of each set of equivalent atoms:
Mn (0.0000, 0.0000, 0.0000) [4 per cell]  4 Be 2.48
Be (0.2500, 0.2500, 0.7500) [4 per cell]  4 Hg 2.48, 4 Mn 2.48
Hg (0.0000, 0.0000, 0.5000) [4 per cell]  4 Be 2.48

Calculated values
Formation energy (meV/atom): 388
Final energy (eV per atom): -4.0115
DOS(E_F) (states/eV per cell): 3.60



(4)
The following is a GGA-PBE calculation of MnBeHg3 after structural relaxation, from Alexandria via LeMat-Bulk.

a = 4.7502 Å, b = 4.7502 Å, c = 4.7502 Å
α = 90.00°, β = 90.00°, γ = 90.00°
Closest atoms and distances in Å follow each position.
Space group Pm-3m (No. 221)
One atom of each set of equivalent atoms:
Mn (0.0000, 0.0000, 0.0000) [1 per cell]  12 Hg 3.36
Be (0.5000, 0.5000, 0.5000) [1 per cell]  6 Hg 2.38
Hg (0.0000, 0.5000, 0.5000) [3 per cell]  2 Be 2.38

Calculated values
Formation energy (meV/atom): 530
Final energy (eV per atom): -2.2304
DOS(E_F) (states/eV per cell): 2.69



(5)
The following is a GGA-PBE calculation of MnBeHg after structural relaxation, from Alexandria via LeMat-Bulk.

a = 5.9608 Å, b = 5.9608 Å, c = 5.9608 Å
α = 90.00°, β = 90.00°, γ = 90.00°
Closest atoms and distances in Å follow each position.
Space group F-43m (No. 216)
One atom of each set of equivalent atoms:
Mn (0.0000, 0.0000, 0.0000) [4 per cell]  4 Hg 2.58, 4 Be 2.58
Be (0.2500, 0.2500, 0.2500) [4 per cell]  4 Mn 2.58
Hg (0.2500, 0.2500, 0.7500) [4 per cell]  4 Mn 2.58

Calculated values
Formation energy (meV/atom): 736
Final energy (eV per atom): -3.6637
DOS(E_F) (states/eV per cell): 7.33



(6)
The following is a GGA-PBE calculation of Mn3BeHg after structural relaxation, from Alexandria via LeMat-Bulk.

a = 4.1819 Å, b = 4.1819 Å, c = 4.1819 Å
α = 90.00°, β = 90.00°, γ = 90.00°
Closest atoms and distances in Å follow each position.
Space group Pm-3m (No. 221)
One atom of each set of equivalent atoms:
Mn (0.0000, 0.0000, 0.5000) [3 per cell]  2 Be 2.09
Be (0.0000, 0.0000, 0.0000) [1 per cell]  6 Mn 2.09
Hg (0.5000, 0.5000, 0.5000) [1 per cell]  12 Mn 2.96

Calculated values
Formation energy (meV/atom): 507
Final energy (eV per atom): -5.8008
DOS(E_F) (states/eV per cell): 1.91



(7)
The following is a GGA-PBE calculation of MnBeHg3 after structural relaxation, from Alexandria via LeMat-Bulk.

a = 5.2442 Å, b = 5.2442 Å, c = 5.2442 Å
α = 90.00°, β = 90.00°, γ = 90.00°
Closest atoms and distances in Å follow each position.
Space group Pm-3m (No. 221)
One atom of each set of equivalent atoms:
Mn (0.0000, 0.0000, 0.0000) [1 per cell]  6 Hg 2.62
Be (0.5000, 0.5000, 0.5000) [1 per cell]  12 Hg 3.71
Hg (0.0000, 0.0000, 0.5000) [3 per cell]  2 Mn 2.62

Calculated values
Formation energy (meV/atom): 945
Final energy (eV per atom): -1.8157
DOS(E_F) (states/eV per cell): 5.75



(8)
The following is a GGA-PBE calculation of MnBeHg after structural relaxation, from Alexandria via LeMat-Bulk.

a = 3.0132 Å, b = 3.0132 Å, c = 5.9831 Å
α = 90.00°, β = 90.00°, γ = 120.00°
Closest atoms and distances in Å follow each position.
Space group P3m1 (No. 156)
One atom of each set of equivalent atoms:
Mn (0.0000, 0.0000, 0.0000) [1 per cell]  3 Be 2.41
Be (0.6667, 0.3333, 0.2792) [1 per cell]  3 Mn 2.41, 3 Hg 2.64
Hg (0.3333, 0.6667, 0.6114) [1 per cell]  3 Be 2.64, 3 Mn 2.90

Calculated values
Formation energy (meV/atom): 514
Final energy (eV per atom): -3.8853
DOS(E_F) (states/eV per cell): 1.53



(9)
The following is a GGA-PBE calculation of Mn3BeHg after structural relaxation, from Alexandria via LeMat-Bulk.

a = 4.9867 Å, b = 4.9867 Å, c = 4.9867 Å
α = 90.00°, β = 90.00°, γ = 90.00°
Closest atoms and distances in Å follow each position.
Space group Pm-3m (No. 221)
One atom of each set of equivalent atoms:
Mn (0.0000, 0.0000, 0.5000) [3 per cell]  2 Hg 2.49
Be (0.5000, 0.5000, 0.5000) [1 per cell]  12 Mn 3.53
Hg (0.0000, 0.0000, 0.0000) [1 per cell]  6 Mn 2.49

Calculated values
Formation energy (meV/atom): 1606
Final energy (eV per atom): -4.7013
DOS(E_F) (states/eV per cell): 4.64



(10)
The following is a GGA-PBE calculation of Mn2Be2Hg after structural relaxation, from Alexandria via LeMat-Bulk.

a = 6.2765 Å, b = 6.2765 Å, c = 3.2015 Å
α = 90.00°, β = 90.00°, γ = 90.00°
Closest atoms and distances in Å follow each position.
Space group P4/mbm (No. 127)
One atom of each set of equivalent atoms:
Mn (0.1595, 0.3405, 0.0000) [4 per cell]  6 Be 2.40-2.51
Be (0.1221, 0.6221, 0.5000) [4 per cell]  1 Be 2.17, 4 Mn 2.40
Hg (0.0000, 0.0000, 0.5000) [2 per cell]  4 Be 2.49

Calculated values
Formation energy (meV/atom): 163
Final energy (eV per atom): -5.0553
DOS(E_F) (states/eV per cell): 5.25



(11)
The following is a GGA-PBE calculation of MnBeHg2W after structural relaxation, from Alexandria via LeMat-Bulk.

a = 5.3669 Å, b = 5.3669 Å, c = 4.5957 Å
α = 90.00°, β = 90.00°, γ = 90.00°
Closest atoms and distances in Å follow each position.
Space group P4/mmm (No. 123)
One atom of each set of equivalent atoms:
Mn (0.0000, 0.0000, 0.0000) [1 per cell]  2 W 2.30
Be (0.5000, 0.5000, 0.0000) [1 per cell]  8 Hg 3.53, 4 Mn 3.79
Hg (0.0000, 0.5000, 0.5000) [2 per cell]  2 W 2.68
W (0.0000, 0.0000, 0.5000) [1 per cell]  2 Mn 2.30

Calculated values
Formation energy (meV/atom): 1653
Final energy (eV per atom): -3.6377
DOS(E_F) (states/eV per cell): 4.31



(12)
The following is a GGA-PBE calculation of BeHgMo2 after structural relaxation, from Alexandria via LeMat-Bulk.

a = 3.3016 Å, b = 4.4679 Å, c = 8.5004 Å
α = 90.00°, β = 90.00°, γ = 90.00°
Closest atoms and distances in Å follow each position.
Space group Cmm2 (No. 35)
One atom of each set of equivalent atoms:
Be (0.0000, 0.0000, 0.0000) [2 per cell]  2 Mo 2.43, 2 Hg 2.64
Hg (0.0000, 0.5000, 0.2423) [2 per cell]  2 Be 2.64, 4 Hg 2.78
Mo (0.0000, 0.0000, 0.5369) [2 per cell]  6 Mo 2.71-2.78, 2 Hg 3.00
Mo (0.0000, 0.5000, 0.7896) [2 per cell]  2 Be 2.43, 2 Mo 2.71

Calculated values
Formation energy (meV/atom): 365
Final energy (eV per atom): -6.0575
DOS(E_F) (states/eV per cell): 3.28



(13)
The following is a GGA-PBE calculation of BeHgMo after structural relaxation, from Alexandria via LeMat-Bulk.

a = 2.8677 Å, b = 2.8677 Å, c = 6.6981 Å
α = 90.00°, β = 90.00°, γ = 120.00°
Closest atoms and distances in Å follow each position.
Space group P3m1 (No. 156)
One atom of each set of equivalent atoms:
Be (0.0000, 0.0000, 0.0000) [1 per cell]  3 Mo 2.55, 3 Hg 2.77
Hg (0.3333, 0.6667, 0.3315) [1 per cell]  3 Be 2.77, 6 Hg 2.87, 3 Mo 3.03
Mo (0.6667, 0.3333, 0.7108) [1 per cell]  3 Be 2.55

Calculated values
Formation energy (meV/atom): 582
Final energy (eV per atom): -4.3712
DOS(E_F) (states/eV per cell): 2.42



(14)
The following is a GGA-PBE calculation of Be2HgMo after structural relaxation, from Alexandria via LeMat-Bulk.

a = 3.5179 Å, b = 4.1844 Å, c = 7.6938 Å
α = 90.00°, β = 90.00°, γ = 90.00°
Closest atoms and distances in Å follow each position.
Space group Cmmm (No. 65)
One atom of each set of equivalent atoms:
Be (0.0000, 0.0000, 0.2267) [4 per cell]  4 Mo 2.48-2.72, 4 Be 2.73, 2 Hg 2.74
Hg (0.0000, 0.5000, 0.5000) [2 per cell]  4 Hg 2.73, 8 Be 2.74-2.97
Mo (0.0000, 0.5000, 0.0000) [2 per cell]  8 Be 2.48-2.72, 4 Mo 2.73

Calculated values
Formation energy (meV/atom): 367
Final energy (eV per atom): -4.2797
DOS(E_F) (states/eV per cell): 1.39



(15)
The following is a GGA-PBE calculation of BeHgMo after structural relaxation, from Alexandria via LeMat-Bulk.

a = 5.7967 Å, b = 5.7967 Å, c = 5.7967 Å
α = 90.00°, β = 90.00°, γ = 90.00°
Closest atoms and distances in Å follow each position.
Space group F-43m (No. 216)
One atom of each set of equivalent atoms:
Be (0.0000, 0.0000, 0.0000) [4 per cell]  4 Hg 2.51, 4 Mo 2.51
Hg (0.2500, 0.2500, 0.7500) [4 per cell]  4 Be 2.51
Mo (0.2500, 0.2500, 0.2500) [4 per cell]  4 Be 2.51

Calculated values
Formation energy (meV/atom): 705
Final energy (eV per atom): -4.2478
DOS(E_F) (states/eV per cell): 9.28



In μB/f.u., the magnetic moment values for the records above are, in order, 3.430 0.469 3.255 4.696 3.118 9.036 3.747 3.589 12.452 6.051 1.988 0.000 0.000 0.000 1.466.